Record 1
The following is a PBE calculation of an optimized crystal structure of BaMgOs2, from Alexandria.

Cell and atoms, written as CIF:
```
data_BaMgOs2
_cell_length_a 5.953
_cell_length_b 9.750
_cell_length_c 2.985
_cell_angle_alpha 90.00
_cell_angle_beta 116.17
_cell_angle_gamma 90.00
_symmetry_space_group_name_H-M 'C 1 2/m 1'
_symmetry_Int_Tables_number 12
loop_
_symmetry_equiv_pos_as_xyz
'x,y,z'
'-x,-y,-z'
'-x,y,-z'
'x,-y,z'
'x+1/2,y+1/2,z'
'-x+1/2,-y+1/2,-z'
'-x+1/2,y+1/2,-z'
'x+1/2,-y+1/2,z'
loop_
_atom_site_label
_atom_site_type_symbol
_atom_site_fract_x
_atom_site_fract_y
_atom_site_fract_z
Ba1 Ba 0.000 0.000 0.000
Mg1 Mg 0.000 0.500 0.000
Os1 Os 0.250 0.250 0.500
```

VASP energy = -42.6 eV for the cell shown
Theoretical density = 11.58 g/cm3

Record 2
The following is a PBE calculation of an optimized crystal structure of BaMgOs2, from Alexandria.

Cell and atoms, written as CIF:
```
data_BaMgOs2
_cell_length_a 6.221
_cell_length_b 9.455
_cell_length_c 2.796
_cell_angle_alpha 90.00
_cell_angle_beta 90.00
_cell_angle_gamma 90.00
_symmetry_space_group_name_H-M 'C m m m'
_symmetry_Int_Tables_number 65
_symmetry_space_group_name_Hall '-C 2 2'
loop_
_atom_site_label
_atom_site_type_symbol
_atom_site_fract_x
_atom_site_fract_y
_atom_site_fract_z
Ba1 Ba 0.000 0.000 0.000
Mg1 Mg 0.000 0.500 0.000
Os1 Os 0.250 0.250 0.500
```

VASP energy = -42.2 eV for the cell shown
Theoretical density = 10.95 g/cm3

Record 3
The following is a PBE calculation of an optimized crystal structure of BaMgOs2, from Alexandria.

Cell and atoms, written as CIF:
```
data_BaMgOs2
_cell_length_a 3.078
_cell_length_b 5.020
_cell_length_c 5.108
_cell_angle_alpha 90.00
_cell_angle_beta 90.00
_cell_angle_gamma 90.00
_symmetry_space_group_name_H-M 'P m m m'
_symmetry_Int_Tables_number 47
loop_
_symmetry_equiv_pos_as_xyz
'x,y,z'
'-x,-y,-z'
'-x,-y,z'
'x,y,-z'
'x,-y,-z'
'-x,y,z'
'-x,y,-z'
'x,-y,z'
loop_
_atom_site_label
_atom_site_type_symbol
_atom_site_fract_x
_atom_site_fract_y
_atom_site_fract_z
Ba1 Ba 0.000 0.000 0.000
Mg1 Mg 0.500 0.500 0.000
Os1 Os 0.000 0.500 0.500
Os2 Os 0.500 0.000 0.500
```

VASP energy = -21.2 eV for the cell shown
Theoretical density = 11.41 g/cm3